24
Lattice="5.9037 0.0000 0.0000 0.0000 11.6549 0.0000 0.0000 0.0000 3.7658" Properties=species:S:1:pos:R:3 comment="PBE LiPmB4, relaxed" formation_enthalpy_0k_ev_per_atom=-0.33 magnetic_moment_mub_per_fu=0.00 sg=Pbam pbc="T T T"
Li 0.7572 0.9890 0.0000
Li 2.1946 6.8165 0.0000
Li 3.7090 4.8384 0.0000
Li 5.1465 10.6659 0.0000
Pm 0.7296 4.0684 0.0000
Pm 2.2223 9.8959 0.0000
Pm 3.6814 1.7590 0.0000
Pm 5.1741 7.5865 0.0000
B 0.1735 9.4041 1.8829
B 0.6436 11.0794 1.8829
B 0.8213 6.2158 1.8829
B 1.2674 7.9932 1.8829
B 1.6844 2.1658 1.8829
B 2.1305 0.3884 1.8829
B 2.3083 5.2519 1.8829
B 2.7783 3.5766 1.8829
B 3.1253 8.0783 1.8829
B 3.5954 6.4030 1.8829
B 3.7732 11.2665 1.8829
B 4.2192 9.4891 1.8829
B 4.6363 3.6617 1.8829
B 5.0823 5.4391 1.8829
B 5.2601 0.5755 1.8829
B 5.7302 2.2508 1.8829